[1]
Entry from the Alexandria database: a relaxed structure of Rb2PmDyS4 (PBE).

Lattice parameters (Å, degrees): 7.167 4.136 8.064 90.00 107.20 90.00
Space group P2/m (No. 10)
Symmetry-distinct sites (fractional):
Rb 0.000 0.000 0.000
Rb 0.500 0.500 0.000
Pm 0.000 0.500 0.500
Dy 0.500 0.000 0.500
S 0.238 0.000 0.695
S 0.275 0.500 0.307

Values from the calculation:
DOS(E_F), states/eV/atom: 0.0000
Volume, Å³/atom: 28.542
M_tot, μB/f.u.: 0.000
E_form (uncorrected), eV/atom: -1.8426


[2]
Entry from the Alexandria database: a relaxed structure of Rb3PmDy2S6 (PBE).

Lattice parameters (Å, degrees): 7.132 12.353 8.057 90.00 107.16 90.00
Space group C2/m (No. 12)
Symmetry-distinct sites (fractional):
Rb 0.000 0.000 0.000
Rb 0.000 0.334 0.000
Pm 0.000 0.500 0.500
Dy 0.000 0.167 0.500
S 0.225 0.000 0.693
S 0.234 0.330 0.693

Values from the calculation:
DOS(E_F), states/eV/atom: 0.0000
Volume, Å³/atom: 28.258
M_tot, μB/f.u.: 0.000
E_form (uncorrected), eV/atom: -1.8472


[3]
Entry from the Alexandria database: a relaxed structure of Rb4Pm3DySe8 (PBE).

Lattice parameters (Å, degrees): 8.6452 8.6452 24.0396 90.00 90.00 120.00
Space group R-3m (No. 166, hexagonal axes)
Symmetry-distinct sites (fractional):
Rb 0.0000 0.0000 0.0000
Rb 0.0000 0.5000 0.0000
Pm 0.0000 0.5000 0.5000
Dy 0.0000 0.0000 0.5000
Se 0.0000 0.0000 0.2335
Se 0.0056 0.5028 0.2327

Values from the calculation:
DOS(E_F), states/eV/atom: 0.0000
Volume, Å³/atom: 32.416
M_tot, μB/f.u.: 0.000
E_form (uncorrected), eV/atom: -1.7378


[4]
Entry from the Alexandria database: a relaxed structure of RbPm2Dy3Te6 (PBE).

Lattice parameters (Å, degrees): 19.737 4.398 9.214 90.00 104.88 90.00
Space group C2/m (No. 12)
Symmetry-distinct sites (fractional):
Rb 0.000 0.000 0.000
Pm 0.173 0.500 0.351
Dy 0.000 0.000 0.500
Dy 0.162 0.500 0.823
Te 0.002 0.500 0.273
Te 0.162 0.000 0.591
Te 0.177 0.000 0.083

Values from the calculation:
DOS(E_F), states/eV/atom: 0.3549
Volume, Å³/atom: 32.205
M_tot, μB/f.u.: 0.000
E_form (uncorrected), eV/atom: -1.3152


[5]
Entry from the Alexandria database: a relaxed structure of RbPm3Dy2Te6 (PBE).

Lattice parameters (Å, degrees): 19.666 4.443 9.193 90.00 103.58 90.00
Space group C2/m (No. 12)
Symmetry-distinct sites (fractional):
Rb 0.000 0.000 0.000
Pm 0.000 0.000 0.500
Pm 0.157 0.500 0.814
Dy 0.168 0.500 0.341
Te 0.007 0.500 0.269
Te 0.168 0.000 0.576
Te 0.177 0.000 0.093

Values from the calculation:
DOS(E_F), states/eV/atom: 0.3870
Volume, Å³/atom: 32.534
M_tot, μB/f.u.: 0.000
E_form (uncorrected), eV/atom: -1.3115


[6]
Entry from the Alexandria database: a relaxed structure of Pm2DyRe (PBE).

Lattice parameters (Å, degrees): 3.5181 3.5181 31.3955 90.00 90.00 120.00
Space group R-3m (No. 166, hexagonal axes)
Symmetry-distinct sites (fractional):
Pm 0.0000 0.0000 0.2335
Dy 0.0000 0.0000 0.0000
Re 0.0000 0.0000 0.5000

Values from the calculation:
DOS(E_F), states/eV/atom: 1.3078
Volume, Å³/atom: 28.043
M_tot, μB/f.u.: 0.000
Formation energy, eV per formula unit: 1.748